(1)
## Ga2CuSe2S2 (PBE)

Data for crystalline Ga2CuSe2S2 at its relaxed geometry.

The structure in CIF format:
```
data_Ga2CuSe2S2
_chemical_formula_sum 'Ga2 Cu1 Se2 S2'
_symmetry_space_group_name_H-M 'P 1'
_symmetry_Int_Tables_number 1
_cell_length_a 6.5408
_cell_length_b 6.5408
_cell_length_c 5.3816
_cell_angle_alpha 113.65
_cell_angle_beta 113.65
_cell_angle_gamma 109.40
loop_
_symmetry_equiv_pos_as_xyz
'x,y,z'
loop_
_atom_site_label
_atom_site_type_symbol
_atom_site_fract_x
_atom_site_fract_y
_atom_site_fract_z
S1 S 0.6250 0.8811 0.0053
S2 S 0.1189 0.3750 0.9947
Ga1 Ga 0.2567 0.7433 0.5000
Ga2 Ga 0.4961 0.5039 0.0000
Se1 Se 0.8660 0.6047 0.5090
Se2 Se 0.3953 0.1340 0.4910
Cu1 Cu 0.9920 0.0080 0.0000
```

Computed properties:
Crystal system   monoclinic

***

(2)
## Ga2CuSeS3 (PBE)

Data for crystalline Ga2CuSeS3 at its relaxed geometry.

The structure in CIF format:
```
data_Ga2CuSeS3
_chemical_formula_sum 'Ga2 Cu1 Se1 S3'
_symmetry_space_group_name_H-M 'P 1'
_symmetry_Int_Tables_number 1
_cell_length_a 5.3402
_cell_length_b 5.3644
_cell_length_c 6.3797
_cell_angle_alpha 113.49
_cell_angle_beta 113.85
_cell_angle_gamma 90.71
loop_
_symmetry_equiv_pos_as_xyz
'x,y,z'
loop_
_atom_site_label
_atom_site_type_symbol
_atom_site_fract_x
_atom_site_fract_y
_atom_site_fract_z
Ga1 Ga 0.5018 0.4916 0.9952
Ga2 Ga 0.7589 0.2591 0.5055
S1 S 0.6210 0.6307 0.7426
S2 S 0.1298 0.1162 0.7432
S3 S 0.8875 0.3825 0.2510
Cu1 Cu 0.9894 0.0028 0.9931
Se1 Se 0.3615 0.8670 0.2694
```

Computed properties:
Crystal system   triclinic

***

Going through the records in order, we get theoretical density values of 4.51 4.19 g/cm3.
Going through the records in order, we get total DFT energy (no corrections) values of -4.040 -4.146 eV/atom.
Going through the records in order, we get volume values of 156.35 149.98 Å³ per cell.